A geometry-optimized Nd4Mg3Bi structure, computed with PBE.

abc: 5.5190 5.5190 9.5958
angles: 73.29 73.29 60.00
Positions (direct):
1 Mg 0.5000 0.5000 0.5000
2 Mg 0.7554 0.7554 0.7337
3 Nd 0.3751 0.3751 0.8748
4 Bi 0.0000 0.0000 0.0000
5 Mg 0.2446 0.2446 0.2663
6 Nd 0.1252 0.1252 0.6244
7 Nd 0.8748 0.8748 0.3756
8 Nd 0.6249 0.6249 0.1252



A geometry-optimized YIr2Au structure, computed with PBE.

energy above the lowest structure with this stoichiometry	408	meV/atom

abc: 3.1035 3.1035 7.5641
angles: 90.00 90.00 90.00
Positions (direct):
1 Au 0.5000 0.5000 0.7500
2 Y 0.5000 0.5000 0.2500
3 Ir 0.0000 0.0000 0.9842
4 Ir 0.0000 0.0000 0.5158



A geometry-optimized Pr5Nd5Ho structure, computed with PBE.

abc: 6.1944 10.1174 7.1002
angles: 109.74 90.00 107.83
Positions (direct):
1 Nd 0.6255 0.2510 0.6311
2 Pr 0.8264 0.6528 0.0716
3 Pr 0.8258 0.6517 0.5832
4 Nd 0.0000 0.0000 0.5000
5 Nd 0.3300 0.6599 0.8248
6 Pr 0.1736 0.3472 0.9284
7 Pr 0.1742 0.3483 0.4168
8 Ho 0.0000 0.0000 0.0000
9 Nd 0.6700 0.3401 0.1752
10 Pr 0.5000 0.0000 0.0000
11 Nd 0.3745 0.7490 0.3689



A geometry-optimized LaPmZn structure, computed with PBE.

energy above the lowest structure with this stoichiometry	217	meV/atom

abc: 5.1290 5.1290 5.1290
angles: 60.00 60.00 60.00
Positions (direct):
1 La 0.5000 0.5000 0.5000
2 Pm 0.0000 0.0000 0.0000
3 Zn 0.2500 0.2500 0.2500



Computed final energy, in the same sequence as the records: -0.137 -0.251 -0.166 -0.133 hartree per atom.
Computed energy relative to the elements, in the same sequence as the records: -0.27 0.03 0.23 0.02 eV per atom.